Record 1
Entry from Alexandria via LeMat-Bulk: a geometry-optimized K3HoAg2Br9 structure (PBE-GGA).

As for the formation energy from raw total energies: -28.960 kcal/mol of atoms. The density of states at the Fermi level is 0.47 states/eV per atom. Its total energy is -3.16 eV/atom. Its space group is P-3m1.

The structure in POSCAR format:
```
K3HoAg2Br9
1.0
-5.541 3.326 -4.391
-1.282 -6.970 3.289
-3.621 4.394 7.898
Br K Ag Ho
9 3 2 1
Direct
0.500 0.000 0.000
0.166 0.331 0.333
0.166 0.834 0.333
0.669 0.834 0.333
0.000 0.500 0.000
0.500 0.500 0.000
0.834 0.166 0.667
0.331 0.166 0.667
0.834 0.669 0.667
0.000 0.000 0.000
0.667 0.333 0.285
0.333 0.667 0.715
0.667 0.333 0.842
0.333 0.667 0.158
0.000 0.000 0.500
```

***

Record 2
Entry from Alexandria via LeMat-Bulk: a geometry-optimized HoMgAgBr6 structure (PBE-GGA).

As for the formation energy from raw total energies: -31.486 kcal/mol of atoms. The density of states at the Fermi level is 0.00 states/eV per atom. Its total energy is -3.48 eV/atom. Its space group is P-31c.

The structure in POSCAR format:
```
HoMgAgBr6
1.0
-5.849 -0.899 3.669
1.521 -4.325 -5.241
6.330 -7.713 8.201
Br Mg Ag Ho
12 2 2 2
Direct
0.010 0.355 0.629
0.655 0.010 0.371
0.355 0.345 0.371
0.645 0.990 0.871
0.010 0.655 0.871
0.345 0.355 0.871
0.645 0.655 0.629
0.355 0.010 0.129
0.655 0.645 0.129
0.990 0.345 0.129
0.345 0.990 0.629
0.990 0.645 0.371
0.333 0.667 0.750
0.667 0.333 0.250
0.000 0.000 0.500
0.000 0.000 0.000
0.333 0.667 0.250
0.667 0.333 0.750
```